No. 1
This record from the Alexandria database describes an optimized crystal structure of In2Ni7Ge2Pt. The functional is PBE.

```
In2Ni7Ge2Pt
1.0
-0.481 -2.598 2.281
3.271 -1.087 -0.549
6.135 6.951 11.845
In Ni Ge Pt
2 7 2 1
direct
0.631 0.631 0.735
0.369 0.369 0.265
0.500 0.500 0.000
0.277 0.277 0.447
0.723 0.723 0.553
0.937 0.437 0.128
0.437 0.937 0.128
0.563 0.063 0.872
0.063 0.563 0.872
0.802 0.802 0.396
0.198 0.198 0.604
0.000 0.000 0.000
```

Values from the calculation:
DFT formation energy: 0.01 eV per atom
total DFT energy (no corrections): -5.09 eV/atom
N(E_F): 11.753 states/eV per cell


No. 2
This record from the Alexandria database describes an optimized crystal structure of PaTi2Be. The functional is PBE.

```
PaTi2Be
1.0
3.762 0.000 0.000
0.000 4.249 0.000
0.000 0.000 4.249
Be Pa Ti
1 1 2
direct
0.500 0.000 0.000
0.500 0.500 0.500
0.000 0.000 0.500
0.000 0.500 0.000
```

Values from the calculation:
energy relative to the lowest polymorph listed for this composition: 60.0 meV/atom
DFT formation energy: 0.13 eV per atom
total DFT energy (no corrections): -7.13 eV/atom
N(E_F): 5.367 states/eV per cell


- total DFT energy (no corrections) of number 2 (PaTi2Be)?
  -7.13 eV/atom


Copy entry 1 word for word.
This record from the Alexandria database describes an optimized crystal structure of In2Ni7Ge2Pt. The functional is PBE.

```
In2Ni7Ge2Pt
1.0
-0.481 -2.598 2.281
3.271 -1.087 -0.549
6.135 6.951 11.845
In Ni Ge Pt
2 7 2 1
direct
0.631 0.631 0.735
0.369 0.369 0.265
0.500 0.500 0.000
0.277 0.277 0.447
0.723 0.723 0.553
0.937 0.437 0.128
0.437 0.937 0.128
0.563 0.063 0.872
0.063 0.563 0.872
0.802 0.802 0.396
0.198 0.198 0.604
0.000 0.000 0.000
```

Values from the calculation:
DFT formation energy: 0.01 eV per atom
total DFT energy (no corrections): -5.09 eV/atom
N(E_F): 11.753 states/eV per cell